MgTcAs2, relaxed, DFT PBE-GGA; ΔE_f = 0.139 eV per atom; E_tot = -5.1755 eV/atom
1.0
3.312 0.000 0.000
0.000 4.779 0.000
0.000 0.000 9.834
Mg Tc As
2 2 4
direct
0.000 0.000 0.000
0.500 0.500 0.000
0.000 0.500 0.772
0.500 0.000 0.772
0.000 0.000 0.589
0.000 0.500 0.227
0.500 0.000 0.227
0.500 0.500 0.589